First-principles (GGA-PBE) data for a relaxed structure of K2Cd2P3, as listed in Alexandria via LeMat-Bulk.

Summary:
Size of the total moment, μB/cell: 0.00
D(E_F), states/eV per cell: 10.9
DFT total energy, eV per cell: -41.43
Formation energy, kJ/mol of formula units: -44
SG: P2_1/c, No. 14
Density, g/cm3: 3.52

Lattice parameters (Å, degrees): 6.3214 7.6415 7.7558 90.00 95.26 90.00
Closest atoms and distances in Å follow each position.
Positions (direct):
K1 0.1848 0.1336 0.4090  5 P 3.14-3.50, 2 Cd 3.33-3.35, 1 K 3.50
K2 0.1848 0.3664 0.9090  5 P 3.14-3.50, 2 Cd 3.33-3.35, 1 K 3.50
K3 0.8152 0.6336 0.0910  5 P 3.14-3.50, 2 Cd 3.33-3.35, 1 K 3.50
K4 0.8152 0.8664 0.5910  5 P 3.14-3.50, 2 Cd 3.33-3.35, 1 K 3.50
Cd1 0.3645 0.6490 0.6266  4 P 2.60-2.70
Cd2 0.3645 0.8510 0.1266  4 P 2.60-2.70
Cd3 0.6355 0.1490 0.8734  4 P 2.60-2.70
Cd4 0.6355 0.3510 0.3734  4 P 2.60-2.70
P1 0.0000 0.0000 0.0000  2 P 2.65, 2 Cd 2.67
P2 0.0000 0.5000 0.5000  2 P 2.65, 2 Cd 2.67
P3 0.2994 0.5628 0.2911  3 Cd 2.60-2.70, 1 P 2.65
P4 0.2994 0.9372 0.7911  3 Cd 2.60-2.70, 1 P 2.65
P5 0.7006 0.0628 0.2089  3 Cd 2.60-2.70, 1 P 2.65
P6 0.7006 0.4372 0.7089  3 Cd 2.60-2.70, 1 P 2.65

***

First-principles (GGA-PBE) data for a relaxed structure of La8Pm5Th, as listed in Alexandria via LeMat-Bulk.

Summary:
Size of the total moment, μB/cell: 0.00
D(E_F), states/eV per cell: 23.1
DFT total energy, eV per cell: -68.32
Formation energy, kJ/mol of formula units: 220
SG: C2, No. 5
Density, g/cm3: 6.76

Lattice parameters (Å, degrees): 8.7682 8.7682 9.3429 121.93 121.93 81.75
Closest atoms and distances in Å follow each position.
Positions (direct):
La1 0.0538 0.0538 0.2853  1 La 3.20, 1 Th 3.22, 2 Pm 3.48-3.57
La2 0.1349 0.5486 0.9497  4 Pm 3.41-3.79, 3 La 3.60-3.81
La3 0.3001 0.0953 0.7741  1 La 3.20, 1 Pm 3.41
La4 0.4514 0.8651 0.0503  4 Pm 3.41-3.79, 3 La 3.60-3.81
La5 0.5074 0.3818 0.7325  5 Pm 3.32-3.64, 1 Th 3.39, 2 La 3.59-3.66
La6 0.6182 0.4926 0.2675  5 Pm 3.32-3.64, 1 Th 3.39, 2 La 3.59-3.66
La7 0.9047 0.6999 0.2259  1 La 3.20, 1 Pm 3.41
La8 0.9462 0.9462 0.7147  1 La 3.20, 1 Th 3.22, 2 Pm 3.48-3.57
Pm1 0.1050 0.5405 0.5366  7 La 3.41-3.69, 1 Pm 3.42, 1 Th 3.67
Pm2 0.2852 0.3259 0.2463  3 La 3.32-3.64, 1 Pm 3.42, 1 Th 3.61
Pm3 0.4595 0.8950 0.4634  7 La 3.41-3.69, 1 Pm 3.42, 1 Th 3.67
Pm4 0.6741 0.7148 0.7537  3 La 3.32-3.64, 1 Pm 3.42, 1 Th 3.61
Pm5 0.7682 0.2318 0.5000  6 La 3.41-3.69
Th1 0.7974 0.2026 0.0000  4 La 3.22-3.39